(1)
Here is CuTeP after structural relaxation from the Alexandria database. Energies are from GGA-PBE.

Cell and atoms, written as POSCAR:
```
CuTeP
1.0
3.780 0.000 0.000
-1.890 3.273 0.000
0.000 0.000 4.571
Cu Te P
1 1 1
direct
0.000 0.000 0.000
0.333 0.667 0.649
0.667 0.333 0.226
```

Results
size of the total moment = 0.0 μB/f.u.
energy relative to the elements, uncorrected = 0.1880 eV/atom
space group = P3m1
DOS(E_F) = 1.523 states/eV per cell
total DFT energy (no corrections) = -4.03 eV per atom
crystal system = trigonal
energy above the most stable polymorph in this dataset = 0.013 eV per atom
calculated density = 6.5 g cm⁻³

***

(2)
Here is ZrPt2W after structural relaxation from the Alexandria database. Energies are from GGA-PBE.

Cell and atoms, written as POSCAR:
```
ZrPt2W
1.0
3.514 0.000 0.000
0.000 3.514 0.000
0.000 0.000 5.626
Zr Pt W
1 2 1
direct
0.000 0.000 0.000
0.500 0.500 0.262
0.500 0.500 0.738
0.000 0.000 0.500
```

Results
size of the total moment = 0.0 μB/f.u.
space group = P4/mmm
DOS(E_F) = 5.462 states/eV per cell
total DFT energy (no corrections) = -8.75 eV per atom
ΔE_f = -349 meV/atom
crystal system = tetragonal
calculated density = 15.9 g cm⁻³

***

(3)
Here is Tl2PbI4 after structural relaxation from the Alexandria database. Energies are from GGA-PBE.

Cell and atoms, written as POSCAR:
```
Tl2PbI4
1.0
5.130 -7.045 0.000
5.130 7.045 0.000
0.000 0.000 4.802
Tl Pb I
2 1 4
direct
0.000 0.500 0.000
0.500 0.000 0.000
0.000 0.000 0.500
0.220 0.220 0.000
0.233 0.767 0.500
0.767 0.233 0.500
0.780 0.780 0.000
```

Results
size of the total moment = 0.0 μB/f.u.
energy relative to the elements, uncorrected = -0.6585 eV/atom
space group = Cmmm
DOS(E_F) = 0.000 states/eV per cell
total DFT energy (no corrections) = -2.75 eV per atom
crystal system = orthorhombic
energy above the most stable polymorph in this dataset = 0.000 eV per atom
calculated density = 5.4 g cm⁻³

***

(4)
Here is Zr2NpGa9 after structural relaxation from the Alexandria database. Energies are from GGA-PBE.

Cell and atoms, written as POSCAR:
```
Zr2NpGa9
1.0
4.158 0.000 0.000
0.000 4.158 0.000
0.000 0.000 12.551
Zr Np Ga
2 1 9
direct
0.000 0.000 0.161
0.000 0.000 0.839
0.000 0.000 0.500
0.000 0.500 0.000
0.000 0.500 0.329
0.000 0.500 0.671
0.500 0.000 0.000
0.500 0.000 0.329
0.500 0.000 0.671
0.500 0.500 0.166
0.500 0.500 0.500
0.500 0.500 0.834
```

Results
size of the total moment = 3.6 μB/f.u.
space group = P4/mmm
DOS(E_F) = 11.053 states/eV per cell
total DFT energy (no corrections) = -5.17 eV per atom
ΔE_f = -395 meV/atom
crystal system = tetragonal
calculated density = 8.0 g cm⁻³

***

(5)
Here is ZnNiRh after structural relaxation from the Alexandria database. Energies are from GGA-PBE.

Cell and atoms, written as POSCAR:
```
ZnNiRh
1.0
4.198 0.000 0.000
-2.099 3.636 0.000
0.000 0.000 5.114
Zn Ni Rh
2 2 2
direct
0.333 0.667 0.161
0.667 0.333 0.839
0.000 0.000 0.000
0.000 0.000 0.500
0.333 0.667 0.662
0.667 0.333 0.338
```

Results
size of the total moment = 1.0 μB/f.u.
space group = P-3m1
DOS(E_F) = 5.104 states/eV per cell
total DFT energy (no corrections) = -4.97 eV per atom
ΔE_f = -171 meV/atom
crystal system = trigonal
energy above the most stable polymorph in this dataset = 0.000 eV per atom
calculated density = 9.7 g cm⁻³

***

(6)
Here is CdHg2Os after structural relaxation from the Alexandria database. Energies are from GGA-PBE.

Cell and atoms, written as POSCAR:
```
CdHg2Os
1.0
1.447 -2.489 0.000
1.447 2.489 0.000
0.000 0.000 11.762
Cd Hg Os
1 2 1
direct
0.000 0.000 0.000
0.000 0.000 0.571
0.500 0.500 0.277
0.500 0.500 0.791
```

Results
size of the total moment = 0.0 μB/f.u.
space group = Cmm2
DOS(E_F) = 3.312 states/eV per cell
total DFT energy (no corrections) = -2.59 eV per atom
ΔE_f = 598 meV/atom
crystal system = orthorhombic
calculated density = 13.8 g cm⁻³

***

What did the second record say?
Here is ZrPt2W after structural relaxation from the Alexandria database. Energies are from GGA-PBE.

Cell and atoms, written as POSCAR:
```
ZrPt2W
1.0
3.514 0.000 0.000
0.000 3.514 0.000
0.000 0.000 5.626
Zr Pt W
1 2 1
direct
0.000 0.000 0.000
0.500 0.500 0.262
0.500 0.500 0.738
0.000 0.000 0.500
```

Results
size of the total moment = 0.0 μB/f.u.
space group = P4/mmm
DOS(E_F) = 5.462 states/eV per cell
total DFT energy (no corrections) = -8.75 eV per atom
ΔE_f = -349 meV/atom
crystal system = tetragonal
calculated density = 15.9 g cm⁻³

***

Which of these has the highest DOS(E_F)?
Zr2NpGa9